VASP calculation (PBE) on a relaxed structure of Nb2CoHW.

Computed properties:
Theoretical density ... 10.9 Mg/m³
Magnetization ... 0.00 μB/cell
Crystal system ... tetragonal
Raw total energy ... -8.778 eV/atom
Calculated volume ... 65.2 Å³/cell

Lattice parameters (Å, degrees): 4.408 4.408 3.357 90.00 90.00 90.00
Space group P4/mmm (No. 123)
Asymmetric unit:
Nb: 0.000 0.500 0.000
Co: 0.000 0.000 0.500
H: 0.000 0.000 0.000
W: 0.500 0.500 0.500



VASP calculation (PBE) on a relaxed structure of K2ScHg.

Computed properties:
Theoretical density ... 4.0 Mg/m³
Formation energy from the elements ... 8.9 kcal/mol of atoms
Magnetization ... 3.85 μB/cell
ΔE to the lowest computed polymorph ... 0.357 eV/atom
Crystal system ... cubic
Calculated volume ... 534.8 Å³/cell

Lattice parameters (Å, degrees): 8.117 8.117 8.117 90.00 90.00 90.00
Space group F-43m (No. 216)
Asymmetric unit:
K: 0.000 0.000 0.000
K: 0.250 0.250 0.250
Sc: 0.000 0.000 0.500
Hg: 0.250 0.250 0.750



VASP calculation (PBE) on a relaxed structure of CeZrAlTc.

Computed properties:
Theoretical density ... 7.2 Mg/m³
Formation energy from the elements ... -3.6 kcal/mol of atoms
Magnetization ... 0.00 μB/cell
Crystal system ... cubic
Calculated volume ... 327.4 Å³/cell

Lattice parameters (Å, degrees): 6.892 6.892 6.892 90.00 90.00 90.00
Space group F-43m (No. 216)
Asymmetric unit:
Ce: 0.000 0.000 0.000
Zr: 0.000 0.000 0.500
Al: 0.250 0.250 0.250
Tc: 0.250 0.250 0.750



VASP calculation (PBE) on a relaxed structure of CeSbRh2.

Computed properties:
Theoretical density ... 9.5 Mg/m³
Magnetization ... 1.38 μB/cell
Formation energy (no corrections) ... -0.777 eV per atom
Crystal system ... orthorhombic
Calculated volume ... 325.8 Å³/cell

Lattice parameters (Å, degrees): 7.708 6.999 6.039 90.00 90.00 90.00
Space group Pnma (No. 62)
Asymmetric unit:
Ce: 0.045 0.250 0.176
Sb: 0.108 0.750 0.321
Rh: 0.181 0.044 0.577



Question: What is the formula in the third record?
Answer: CeZrAlTc